Density functional theory data (PBEsol) for a relaxed structure of AlInOs2.

Values from the calculation:
mass density	13.3	g/cm3
energy of formation	0.34	eV/f.u.

abc: 2.824 2.824 8.163
angles: 90.00 90.00 90.00
Space group P4mm (No. 99)
One atom of each set of equivalent atoms:
Al 0.000 0.000 0.000 [1 per cell]
In 0.500 0.500 0.316 [1 per cell]
Os 0.000 0.000 0.578 [1 per cell]
Os 0.500 0.500 0.783 [1 per cell]